Record 1
Here is an optimized crystal structure of Zr2HO6 from the Open Quantum Materials Database. Energies are from PBE-GGA.

Unit cell a=5.977 b=5.977 c=3.504 alpha=100.07 beta=100.07 gamma=129.20
Sites, in units of the cell vectors:
H (0.500, 0.500, 0.000)
O (0.265, 0.265, 0.024)
O (0.897, 0.536, 0.332)
O (0.536, 0.897, 0.332)
O (0.464, 0.103, 0.668)
O (0.103, 0.464, 0.668)
O (0.735, 0.735, 0.976)
Zr (0.850, 0.150, 0.000)
Zr (0.150, 0.850, 0.000)

**Magnetic moment**: 1.000 μB/cell
**Uncorrected energy**: -67.278 eV per cell
**Excess energy over the best structure of this formula in the dataset**: 0.317 eV per atom
**SG**: C2/m (12)

Record 2
Here is an optimized crystal structure of ZnPd4W from the Open Quantum Materials Database. Energies are from PBE-GGA.

Unit cell a=7.062 b=7.062 c=7.062 alpha=35.45 beta=35.45 gamma=35.45
Sites, in units of the cell vectors:
Pd (0.128, 0.128, 0.128)
Pd (0.372, 0.372, 0.372)
Pd (0.628, 0.628, 0.628)
Pd (0.872, 0.872, 0.872)
W (0.500, 0.500, 0.500)
Zn (0.000, 0.000, 0.000)

**Magnetic moment**: 0.008 μB/cell
**Uncorrected energy**: -34.143 eV per cell
**Energy of formation from the pure elements**: 0.13 eV per atom
**SG**: R-3m (166)

Record 3
Here is an optimized crystal structure of NdSn3 from the Open Quantum Materials Database. Energies are from PBE-GGA.

Unit cell a=13.968 b=13.968 c=3.179 alpha=90.00 beta=90.00 gamma=155.94
Sites, in units of the cell vectors:
Nd (0.896, 0.104, 0.500)
Nd (0.104, 0.896, 0.500)
Sn (0.780, 0.220, 0.500)
Sn (0.668, 0.332, 0.500)
Sn (0.553, 0.447, 0.500)
Sn (0.447, 0.553, 0.500)
Sn (0.332, 0.668, 0.500)
Sn (0.220, 0.780, 0.500)

**Magnetic moment**: 0.010 μB/cell
**Uncorrected energy**: -33.121 eV per cell
**SG**: Cmmm (65)